i:
Computed, not measured: an optimized crystal structure of Ce6In3C at the PBE level of DFT.

- D(E_F): 27.38 states/eV per cell
- Symmetry: C2/m, No. 12

a = 7.757 Å, b = 6.341 Å, c = 6.341 Å
α = 62.34°, β = 78.13°, γ = 78.13°
Each line ends with the local moment (μB).
Fractional coordinates of all 10 atoms:
Ce 0.172 0.631 0.631  0.81
Ce 0.606 0.894 0.350  0.43
Ce 0.606 0.350 0.894  0.43
Ce 0.394 0.650 0.106  0.43
Ce 0.828 0.369 0.369  0.81
Ce 0.394 0.106 0.650  0.43
C 0.500 0.500 0.500  -0.03
In 0.000 0.000 0.000  -0.01
In 0.232 0.175 0.175  -0.01
In 0.768 0.825 0.825  -0.01

---

ii:
Computed, not measured: an optimized crystal structure of Ce6In3C at the PBE level of DFT.

- D(E_F): 48.57 states/eV per cell
- Symmetry: R-3m, No. 166

a = 8.131 Å, b = 8.131 Å, c = 8.131 Å
α = 78.87°, β = 78.87°, γ = 78.87°
Each line ends with the local moment (μB).
Fractional coordinates of all 20 atoms:
In 0.528 0.852 0.852  0.00
In 0.148 0.472 0.148  0.00
In 0.472 0.148 0.148  0.00
In 0.852 0.852 0.528  0.00
In 0.852 0.528 0.852  0.00
In 0.148 0.148 0.472  0.00
Ce 0.133 0.797 0.797  0.58
Ce 0.867 0.203 0.203  0.58
Ce 0.797 0.797 0.133  0.58
Ce 0.532 0.191 0.532  0.42
Ce 0.203 0.203 0.867  0.58
Ce 0.532 0.532 0.191  0.42
Ce 0.797 0.133 0.797  0.58
Ce 0.468 0.809 0.468  0.42
Ce 0.203 0.867 0.203  0.58
Ce 0.191 0.532 0.532  0.42
Ce 0.468 0.468 0.809  0.42
Ce 0.809 0.468 0.468  0.42
C 0.500 0.500 0.500  -0.02
C 0.000 0.000 0.000  -0.04

---

Stability order, top to bottom: ii, i

---

i:
Computed, not measured: an optimized crystal structure of CeIrC at the PBE level of DFT.

- D(E_F): 6.12 states/eV per cell
- Symmetry: C2/m, No. 12

a = 4.401 Å, b = 4.357 Å, c = 9.627 Å
α = 117.26°, β = 76.79°, γ = 59.67°
Fractional coordinates of all 6 atoms:
Ir 0.241 0.462 0.056
Ir 0.759 0.538 0.944
C 0.110 0.122 0.659
C 0.890 0.878 0.341
Ce 0.405 0.496 0.693
Ce 0.595 0.504 0.307

---

ii:
Computed, not measured: an optimized crystal structure of CeIrC at the PBE level of DFT.

- D(E_F): 3.50 states/eV per cell
- Symmetry: P-6m2, No. 187

a = 3.978 Å, b = 3.753 Å, c = 3.753 Å
α = 120.00°, β = 90.00°, γ = 90.00°
Fractional coordinates of all 3 atoms:
Ce 0.666 0.667 0.333
C 0.167 0.000 0.000
Ir 0.167 0.333 0.667

---

Stability order, top to bottom: ii, i

---

i:
Computed, not measured: an optimized crystal structure of LaCeC2 at the PBE level of DFT.

- D(E_F): 5.17 states/eV per cell
- Symmetry: R-3m, No. 166

a = 3.733 Å, b = 3.733 Å, c = 6.486 Å
α = 73.27°, β = 73.27°, γ = 60.00°
Fractional coordinates of all 4 atoms:
Ce 0.000 0.000 0.000
C 0.258 0.258 0.225
C 0.742 0.742 0.775
La 0.500 0.500 0.500

---

ii:
Computed, not measured: an optimized crystal structure of LaCeC2 at the PBE level of DFT.

- D(E_F): 2.77 states/eV per cell
- Symmetry: Amm2, No. 38

a = 4.204 Å, b = 4.454 Å, c = 4.454 Å
α = 100.41°, β = 90.00°, γ = 90.00°
Fractional coordinates of all 4 atoms:
La 0.000 0.935 0.065
C 0.500 0.604 0.145
C 0.500 0.855 0.396
Ce 0.500 0.386 0.614

---

Stability order, top to bottom: ii, i

---

i:
Computed, not measured: an optimized crystal structure of LaCe2C at the PBE level of DFT.

- D(E_F): 7.74 states/eV per cell
- Symmetry: R-3m, No. 166

a = 3.512 Å, b = 3.512 Å, c = 9.592 Å
α = 79.45°, β = 79.45°, γ = 60.00°
Each line ends with the local moment (μB).
Fractional coordinates of all 4 atoms:
C 0.500 0.500 0.500  -0.01
Ce 0.884 0.884 0.347  0.25
Ce 0.116 0.116 0.653  0.25
La 0.000 0.000 0.000  -0.01

---

ii:
Computed, not measured: an optimized crystal structure of LaCe2C at the PBE level of DFT.

- D(E_F): 7.68 states/eV per cell
- Symmetry: R3m, No. 160

a = 3.584 Å, b = 3.584 Å, c = 9.309 Å
α = 90.01°, β = 101.09°, γ = 120.01°
Each line ends with the local moment (μB).
Fractional coordinates of all 4 atoms:
C 0.000 0.000 0.000  -0.01
Ce 0.768 0.384 0.152  0.52
Ce 0.226 0.613 0.839  0.06
La 0.673 0.836 0.509  0.02

---

Stability order, top to bottom: ii, i

---

i:
Computed, not measured: an optimized crystal structure of CeLu2C at the PBE level of DFT.

- D(E_F): 6.15 states/eV per cell
- Symmetry: R-3m, No. 166

a = 3.403 Å, b = 3.403 Å, c = 9.790 Å
α = 79.99°, β = 79.99°, γ = 60.00°
Each line ends with the local moment (μB).
Fractional coordinates of all 4 atoms:
C 0.500 0.500 0.500  0.01
Lu 0.879 0.879 0.362  -0.02
Lu 0.121 0.121 0.638  -0.02
Ce 0.000 0.000 0.000  -0.85

---

ii:
Computed, not measured: an optimized crystal structure of CeLu2C at the PBE level of DFT.

- D(E_F): 6.76 states/eV per cell
- Symmetry: P4/mmm, No. 123

a = 3.137 Å, b = 3.137 Å, c = 8.604 Å
α = 90.00°, β = 90.00°, γ = 90.00°
Each line ends with the local moment (μB).
Fractional coordinates of all 4 atoms:
C 0.500 0.500 0.000  0.01
Lu 0.000 0.000 0.845  0.08
Lu 0.000 0.000 0.155  0.08
Ce 0.500 0.500 0.500  0.84

---

Stability order, top to bottom: i, ii

---

i:
Computed, not measured: an optimized crystal structure of CeMg14C at the PBE level of DFT.

- D(E_F): 15.86 states/eV per cell
- Symmetry: P-6m2, No. 187

a = 6.432 Å, b = 6.432 Å, c = 10.040 Å
α = 90.00°, β = 90.00°, γ = 120.00°
Each line ends with the local moment (μB).
Fractional coordinates of all 16 atoms:
Mg 0.667 0.333 0.236  0.00
Mg 0.019 0.509 0.000  0.01
Mg 0.491 0.981 0.000  0.01
Mg 0.667 0.333 0.764  0.00
Mg 0.156 0.844 0.279  0.00
Mg 0.508 0.492 0.500  0.00
Mg 0.491 0.509 0.000  0.01
Mg 0.156 0.844 0.721  0.00
Mg 0.984 0.492 0.500  0.00
Mg 0.508 0.016 0.500  0.00
Mg 0.156 0.312 0.279  0.00
Mg 0.156 0.312 0.721  0.00
Mg 0.688 0.844 0.279  0.00
Mg 0.688 0.844 0.721  0.00
C 0.000 0.000 0.500  0.03
Ce 0.000 0.000 0.000  0.97

---

ii:
Computed, not measured: an optimized crystal structure of CeMg14C at the PBE level of DFT.

- D(E_F): 13.29 states/eV per cell
- Symmetry: Amm2, No. 38

a = 6.491 Å, b = 6.491 Å, c = 10.618 Å
α = 90.00°, β = 90.00°, γ = 125.25°
Each line ends with the local moment (μB).
Fractional coordinates of all 16 atoms:
Mg 0.666 0.334 0.759  0.00
Mg 0.169 0.321 0.758  0.00
Mg 0.827 0.173 0.000  0.00
Mg 0.830 0.676 0.000  0.00
Mg 0.319 0.681 0.000  0.00
Mg 0.763 0.693 0.500  0.00
Mg 0.216 0.784 0.351  0.00
Mg 0.169 0.321 0.242  0.00
Mg 0.307 0.237 0.500  0.00
Mg 0.679 0.831 0.242  0.00
Mg 0.216 0.784 0.649  0.00
Mg 0.666 0.334 0.241  0.00
Mg 0.324 0.170 0.000  0.00
Mg 0.679 0.831 0.758  0.00
C 0.369 0.631 0.500  -0.01
Ce 0.802 0.198 0.500  0.85

---

Stability order, top to bottom: ii, i